DFT (PBE) results for a relaxed structure of Pm3Nd3Er2.

Cell lengths 5.8359, 14.7104, 6.3508 Å; angles 90.00, 90.00, 90.00 degrees
Last column: nearest neighbours and their distance in Å.
Fractional positions:
1 Pm 0.2500 0.1245 0.1678  3 Er 3.60-3.68, 6 Nd 3.60-3.71, 3 Pm 3.62-3.69
2 Pm 0.2500 0.3755 0.1678  3 Er 3.60-3.68, 6 Nd 3.60-3.71, 3 Pm 3.62-3.69
3 Pm 0.2500 0.7500 0.6609  4 Nd 3.61-3.68, 4 Pm 3.62, 4 Er 3.65-3.67
4 Pm 0.7500 0.2500 0.3391  4 Nd 3.61-3.68, 4 Pm 3.62, 4 Er 3.65-3.67
5 Pm 0.7500 0.6245 0.8322  3 Er 3.60-3.68, 6 Nd 3.60-3.71, 3 Pm 3.62-3.69
6 Pm 0.7500 0.8755 0.8322  3 Er 3.60-3.68, 6 Nd 3.60-3.71, 3 Pm 3.62-3.69
7 Nd 0.2500 0.0003 0.6677  5 Pm 3.60-3.68, 3 Nd 3.61-3.67, 4 Er 3.62-3.70
8 Nd 0.2500 0.2500 0.6737  4 Er 3.59, 6 Pm 3.61-3.71, 2 Nd 3.67
9 Nd 0.2500 0.4997 0.6677  5 Pm 3.60-3.68, 3 Nd 3.61-3.67, 4 Er 3.62-3.70
10 Nd 0.7500 0.9997 0.3323  5 Pm 3.60-3.68, 3 Nd 3.61-3.67, 4 Er 3.62-3.70
11 Nd 0.7500 0.5003 0.3323  5 Pm 3.60-3.68, 3 Nd 3.61-3.67, 4 Er 3.62-3.70
12 Nd 0.7500 0.7500 0.3263  4 Er 3.59, 6 Pm 3.61-3.71, 2 Nd 3.67
13 Er 0.2500 0.6260 0.1630  6 Nd 3.59-3.70, 5 Pm 3.60-3.68, 1 Er 3.65
14 Er 0.2500 0.8740 0.1630  6 Nd 3.59-3.70, 5 Pm 3.60-3.68, 1 Er 3.65
15 Er 0.7500 0.1260 0.8370  6 Nd 3.59-3.70, 5 Pm 3.60-3.68, 1 Er 3.65
16 Er 0.7500 0.3740 0.8370  6 Nd 3.59-3.70, 5 Pm 3.60-3.68, 1 Er 3.65

Values from the calculation:
Energy relative to the lowest polymorph listed for this composition = 0.000 eV/atom
DFT total energy = -4.682 eV/atom